A plane-wave DFT calculation with meta-GGA SCAN was carried out for a crystal of Zr2HgPd2 relaxed with PBEsol.

Properties
Crystal system: tetragonal
ΔE_f (eV per formula unit): -1.84
M_tot (μB/atom): 0.000
Calculated density (g/cm3): 9.41
Total energy (eV/atom): -39.39

a = 5.8547 Å, b = 5.8547 Å, c = 5.8547 Å
α = 133.09°, β = 133.09°, γ = 68.52°
Last column: nearest neighbours and their distance in Å.
Sites, in units of the cell vectors:
1 Zr 0.2500 0.7500 0.5000  4 Pd 2.62
2 Zr 0.7500 0.2500 0.5000  4 Pd 2.62
3 Hg 0.0000 0.0000 0.0000  8 Zr 3.36, 10 Pd 3.51-3.62
4 Pd 0.3743 0.3743 0.0000  1 Pd 2.43, 4 Zr 2.62
5 Pd 0.6257 0.6257 0.0000  1 Pd 2.43, 4 Zr 2.62